4
Lattice="-2.943 0.919 0.900 -0.722 -4.687 2.423 2.007 2.017 4.501" Properties=species:S:1:pos:R:3 comment="PBE-GGA PuPa2Ag, optimized geometry" dft_energy_ev_per_atom=-8.950 magmom_total_mub_per_atom=1.00 e_form_mev_per_atom=94 pbc="T T T"
Pa -0.361 -2.343 1.211
Pa 1.003 1.009 2.251
Pu -1.472 0.460 0.450
Ag -0.830 -0.875 3.912